V2OF5 | PBE with a Hubbard U | optimized geometry

Cell and atoms, written as POSCAR:
```
V2OF5
1.0
5.030 -1.422 0.720
-2.126 8.453 1.354
-0.467 -1.836 6.898
V O F
6 3 15
Cartesian
-2.332 6.291 8.193
-1.114 4.476 0.787
1.707 2.870 5.740
2.913 -1.339 5.236
-0.167 5.806 3.842
0.309 2.489 2.720
1.667 -1.566 6.315
3.151 3.564 5.274
-0.205 4.487 2.296
-0.071 2.224 6.526
1.463 1.677 4.182
2.439 1.271 6.672
1.291 5.783 5.364
1.576 4.016 7.376
-1.325 4.505 7.370
-1.432 6.869 2.795
4.349 -1.919 6.430
3.824 1.177 1.935
3.886 0.168 4.524
1.345 6.676 2.863
0.703 1.007 1.510
1.681 -1.078 3.724
0.405 3.790 4.482
2.128 3.308 2.186
```

Results
Electronic total energy (eV per atom): -6.2137